# 1
VASP calculation (meta-GGA SCAN) on a PBEsol-optimized structure of KOs2Cl.

a b c (Å): 3.6100 3.6100 13.5866
angles (deg): 90.00 90.00 90.00
Element x y z (fractional)
K: 0.0000 0.0000 0.0000
K: 0.5000 0.5000 0.5000
Os: 0.0000 0.5000 0.2500
Os: 0.0000 0.5000 0.7500
Os: 0.5000 0.0000 0.2500
Os: 0.5000 0.0000 0.7500
Cl: 0.0000 0.0000 0.5000
Cl: 0.5000 0.5000 0.0000

Computed properties:
formation energy (no corrections) = 94.0 kJ per mole of atoms
space group = I4/mmm, No. 139

# 2
VASP calculation (meta-GGA SCAN) on a PBEsol-optimized structure of BiHSe2N.

a b c (Å): 5.4698 5.4698 4.5420
angles (deg): 90.00 90.00 90.00
Element x y z (fractional)
Bi: 0.0000 0.0000 0.0000
H: 0.5000 0.5000 0.5000
Se: 0.0000 0.5000 0.0000
Se: 0.5000 0.0000 0.0000
N: 0.0000 0.0000 0.5000

Computed properties:
space group = P4/mmm, No. 123

# 3
VASP calculation (meta-GGA SCAN) on a PBEsol-optimized structure of BaBeSbTe2.

a b c (Å): 6.2691 6.2691 6.2537
angles (deg): 90.00 90.00 90.00
Element x y z (fractional)
Ba: 0.0000 0.0000 0.0000
Be: 0.5000 0.5000 0.5000
Sb: 0.0000 0.0000 0.5000
Te: 0.0000 0.5000 0.0000
Te: 0.5000 0.0000 0.0000

Computed properties:
formation energy (no corrections) = 109.1 kJ per mole of atoms
space group = P4/mmm, No. 123

Number 1: magnetic moment 0.00 μB/cell, VASP energy -39.04 eV per atom. Number 2: magnetic moment 4.33 μB/cell, VASP energy -24.74 eV per atom. Number 3: magnetic moment 0.28 μB/cell, VASP energy -30.00 eV per atom.